No. 1
A plane-wave DFT calculation with GGA-PBE was carried out for Li3OsPd after structural relaxation.

Geometry as POSCAR:
```
Li3OsPd
1.0
4.2824 0.0000 0.0000
0.0000 4.2824 0.0000
0.0000 0.0000 4.2824
Li Os Pd
3 1 1
direct
0.0000 0.0000 0.5000
0.0000 0.5000 0.0000
0.5000 0.0000 0.0000
0.5000 0.5000 0.5000
0.0000 0.0000 0.0000
```

**Energy relative to the elements**: 97.6 kJ/mol of atoms
**Energy**: -3.4210 eV/atom
**Magnetization**: 0.0 μB per cell
**Energy above the most stable polymorph in this dataset**: 0.00 kJ per mole of atoms



No. 2
A plane-wave DFT calculation with GGA-PBE was carried out for Tm2PuBi after structural relaxation.

Geometry as POSCAR:
```
Tm2PuBi
1.0
1.7121 0.9885 11.8989
-1.7121 0.9885 11.8989
0.0000 -1.9769 11.8989
Tm Pu Bi
2 1 1
direct
0.0912 0.0912 0.0912
0.9088 0.9088 0.9088
0.0000 0.0000 0.0000
0.5000 0.5000 0.5000
```

**Energy relative to the elements**: 15.0 kJ/mol of atoms
**Energy**: -6.6333 eV/atom
**Magnetization**: 6.4 μB per cell
**Energy above the most stable polymorph in this dataset**: 38.12 kJ per mole of atoms